First-principles (GGA-PBE) data for Cs4IrSe4 after structural relaxation, as listed in the Alexandria database.

Results
Formation energy from raw total energies, eV per atom: -0.6632
Spin magnetization, μB per formula unit: 0.99

Lattice parameters (Å, degrees): 8.1429 8.1429 9.4295 115.58 115.58 90.00
Last column: nearest neighbours and their distance in Å.
Fractional positions:
Cs1 0.5000 0.0000 0.0000  4 Se 3.48
Cs2 0.0000 0.5000 0.0000  4 Se 3.48
Cs3 0.3040 0.3040 0.6080  2 Se 3.42
Cs4 0.6960 0.6960 0.3920  2 Se 3.42
Ir1 0.0000 0.0000 0.0000  4 Se 2.42
Se1 0.7360 0.7360 0.7822  1 Ir 2.42
Se2 0.2640 0.9538 0.2178  1 Ir 2.42
Se3 0.0462 0.0462 0.7822  1 Ir 2.42
Se4 0.9538 0.2640 0.2178  1 Ir 2.42

First-principles (GGA-PBE) data for La2TaAu after structural relaxation, as listed in the Alexandria database.

Results
Spin magnetization, μB per formula unit: 0.02

Lattice parameters (Å, degrees): 5.1188 5.1188 5.1188 60.00 60.00 60.00
Last column: nearest neighbours and their distance in Å.
Fractional positions:
Au1 0.5000 0.5000 0.5000  4 Ta 3.13, 4 La 3.13
La1 0.0000 0.0000 0.0000  4 La 3.13, 4 Ta 3.13
La2 0.2500 0.2500 0.2500  4 La 3.13, 4 Au 3.13
Ta1 0.7500 0.7500 0.7500  4 La 3.13, 4 Au 3.13

First-principles (GGA-PBE) data for Nd4Si2Br after structural relaxation, as listed in the Alexandria database.

Results
Formation energy from raw total energies, eV per atom: -0.7865
Spin magnetization, μB per formula unit: 0.00

Lattice parameters (Å, degrees): 7.8751 7.8751 7.8751 110.07 108.28 110.07
Last column: nearest neighbours and their distance in Å.
Fractional positions:
Nd1 0.1375 0.8927 0.3930  3 Si 2.93-3.25, 1 Br 3.02
Nd2 0.6070 0.7445 0.4997  3 Si 2.93-3.25, 1 Br 3.02
Nd3 0.9948 0.6073 0.7503  3 Si 2.93-3.25, 1 Br 3.02
Nd4 0.2497 0.2445 0.8570  3 Si 2.93-3.25, 1 Br 3.02
Nd5 0.6125 0.7555 0.0052  3 Si 2.93-3.25, 1 Br 3.02
Nd6 0.7552 0.2555 0.8625  3 Si 2.93-3.25, 1 Br 3.02
Nd7 0.5003 0.1073 0.2448  3 Si 2.93-3.25, 1 Br 3.02
Nd8 0.1430 0.3927 0.3875  3 Si 2.93-3.25, 1 Br 3.02
Si1 0.8750 0.1229 0.4979  6 Nd 2.93-3.25
Si2 0.5021 0.3771 0.6250  6 Nd 2.93-3.25
Si3 0.3750 0.8771 0.7521  6 Nd 2.93-3.25
Si4 0.2479 0.6229 0.1250  6 Nd 2.93-3.25
Br1 0.0000 0.0000 0.0000  4 Nd 3.02
Br2 0.7500 0.5000 0.2500  4 Nd 3.02

First-principles (GGA-PBE) data for PuPbSe2 after structural relaxation, as listed in the Alexandria database.

Results
Formation energy from raw total energies, eV per atom: -0.8702
Spin magnetization, μB per formula unit: 5.86

Lattice parameters (Å, degrees): 3.6503 3.6503 7.4640 90.00 90.00 90.00
Last column: nearest neighbours and their distance in Å.
Fractional positions:
Pb1 0.5000 0.5000 0.5000  8 Se 3.30, 4 Pb 3.65
Se1 0.0000 0.0000 0.7761  4 Pu 3.08, 4 Pb 3.30, 1 Se 3.34
Se2 0.0000 0.0000 0.2239  4 Pu 3.08, 4 Pb 3.30, 1 Se 3.34
Pu1 0.5000 0.5000 0.0000  8 Se 3.08

Calculated volume / A^3/atom: 55.02, 23.71, 26.85, 24.86
Calculated total energy / eV per atom: -3.5758, -6.0393, -5.2994, -7.1225
N(E_F) / states/eV/f.u.: 1.92, 5.65, 6.69, 8.21